1.
# LaMgAs2Rh5 PBE relaxed
# Energy relative to the elements   -0.448 eV per atom
data_LaMgAs2Rh5
_cell_length_a 4.146
_cell_length_b 4.146
_cell_length_c 10.246
_cell_angle_alpha 90.00
_cell_angle_beta 90.00
_cell_angle_gamma 90.00
_symmetry_space_group_name_H-M 'P 4/m m m'
_symmetry_Int_Tables_number 123
_symmetry_space_group_name_Hall '-P 4 2'
loop_
_atom_site_label
_atom_site_fract_x
_atom_site_fract_y
_atom_site_fract_z
_atom_site_occupancy
La1 0.000 0.000 0.000 1
Mg1 0.000 0.000 0.500 1
As1 0.500 0.500 0.232 1
Rh1 0.000 0.500 0.345 1
Rh2 0.500 0.500 0.000 1

2.
# Si2SnGeS PBE relaxed
# E_form (uncorrected)   0.913 eV/atom
data_Si2SnGeS
_cell_length_a 4.650
_cell_length_b 4.650
_cell_length_c 5.876
_cell_angle_alpha 90.00
_cell_angle_beta 90.00
_cell_angle_gamma 90.00
_symmetry_space_group_name_H-M 'P 4/m m m'
_symmetry_Int_Tables_number 123
_symmetry_space_group_name_Hall '-P 4 2'
loop_
_atom_site_label
_atom_site_fract_x
_atom_site_fract_y
_atom_site_fract_z
_atom_site_occupancy
Si1 0.000 0.500 0.000 1
Sn1 0.000 0.000 0.500 1
Ge1 0.000 0.000 0.000 1
S1 0.500 0.500 0.500 1

3.
The following is a PBE calculation of a relaxed structure of In2CoHPt, from the Alexandria database.

Structure (CIF):
```
data_In2CoHPt
_cell_length_a 4.692
_cell_length_b 4.692
_cell_length_c 3.211
_cell_angle_alpha 90.00
_cell_angle_beta 90.00
_cell_angle_gamma 90.00
_symmetry_space_group_name_H-M 'P 4/m m m'
_symmetry_Int_Tables_number 123
_symmetry_space_group_name_Hall '-P 4 2'
loop_
_atom_site_label
_atom_site_fract_x
_atom_site_fract_y
_atom_site_fract_z
_atom_site_occupancy
In1 0.000 0.500 0.000 1
Co1 0.000 0.000 0.500 1
H1 0.000 0.000 0.000 1
Pt1 0.500 0.500 0.500 1
```

| no. | VASP energy (Ry/atom) |
| --- | --- |
| 1 | -0.462 |
| 2 | -0.280 |
| 3 | -0.326 |